Below is a relaxed YCdGa4 crystal, with properties calculated at the GGA-PBE level.

Values from the calculation:
Calculated density   6.56 Mg/m³
Calculated formation energy   -0.209 eV per atom
DOS(E_F)   0.782 states/eV per atom
Total DFT energy (no corrections)   -83.0 eV/cell

Cell and atoms, written as CIF:
```
data_YCdGa4
_cell_length_a 7.865
_cell_length_b 7.865
_cell_length_c 7.865
_cell_angle_alpha 90.00
_cell_angle_beta 90.00
_cell_angle_gamma 90.00
_symmetry_space_group_name_H-M 'F -4 3 m'
_symmetry_Int_Tables_number 216
_symmetry_space_group_name_Hall 'F -4 2 3'
loop_
_atom_site_label
_atom_site_fract_x
_atom_site_fract_y
_atom_site_fract_z
Y1 0.000 0.000 0.000
Cd1 0.250 0.250 0.750
Ga1 0.125 0.125 0.375
```